# 1
The following is a DFT calculation (PBE) of a relaxed structure of GaSiNF2.

Calculated values
- ΔE to the lowest computed polymorph: 2.83 eV per formula unit
- D(E_F): 0.05 states/eV per atom
- Crystal system: tetragonal
- DFT total energy: -4.70 eV per atom

Structure (POSCAR):
```
GaSiNF2
1.0
-0.170 -2.133 -3.314
1.556 -3.084 1.905
-3.580 -1.212 0.963
Si N Ga F
1 1 1 2
Cartesian
-1.097 -3.214 -0.223
-1.790 -0.606 0.482
0.000 0.000 0.000
0.778 -1.542 0.952
-0.085 -1.066 -1.657
```

***

# 2
The following is a DFT calculation (PBE) of a relaxed structure of ZnCoAg2.

Calculated values
- D(E_F): 0.80 states/eV per atom
- Crystal system: tetragonal
- Formation energy from the elements: 1.0 eV/f.u.
- DFT total energy: -3.28 eV per atom

Structure (POSCAR):
```
ZnCoAg2
1.0
2.791 0.429 0.000
-0.431 2.791 0.000
0.000 0.000 7.692
Ag Co Zn
2 1 1
Cartesian
0.000 0.000 0.039
0.000 0.000 3.807
1.180 1.610 1.923
1.180 1.610 5.769
```